# 1
Density functional theory data (GGA-PBE) for a relaxed Li2CrRu crystal.

Values from the calculation:
The energy relative to the elements comes out at 1.17 eV per formula unit. The calculation puts the density at 4.989 g cm⁻³. Its total magnetization is 2.68 μB per formula unit.

Cell: 2.680 4.681 4.447 Å, 90.00 95.06 90.00°
Space group P2/m (No. 10)
Asymmetric unit:
Li: 0.247 0.000 0.238 x2
Cr: 0.000 0.500 0.500 x1
Ru: 0.500 0.500 0.000 x1

---

# 2
Density functional theory data (GGA-PBE) for a relaxed LiCrRu crystal.

Values from the calculation:
The energy relative to the elements comes out at 1.97 eV per formula unit. The calculation puts the density at 5.900 g cm⁻³. Its total magnetization is 1.34 μB per formula unit.

Cell: 5.648 5.648 5.648 Å, 90.00 90.00 90.00°
Space group F-43m (No. 216)
Asymmetric unit:
Li: 0.000 0.000 0.000 x4
Cr: 0.000 0.000 0.500 x4
Ru: 0.250 0.250 0.750 x4

---

# 3
Density functional theory data (GGA-PBE) for a relaxed LiCrRu crystal.

Values from the calculation:
The energy relative to the elements comes out at 0.85 eV per formula unit. The calculation puts the density at 7.139 g cm⁻³. Its total magnetization is 0.00 μB per formula unit.

Cell: 2.606 3.995 7.149 Å, 90.00 90.00 90.00°
Space group Imm2 (No. 44)
Asymmetric unit:
Li: 0.000 0.000 0.000 x2
Cr: 0.000 0.000 0.665 x2
Ru: 0.000 0.000 0.338 x2

---

# 4
Density functional theory data (GGA-PBE) for a relaxed Li2CrRu crystal.

Values from the calculation:
The energy relative to the elements comes out at 1.03 eV per formula unit. The calculation puts the density at 5.074 g cm⁻³. Its total magnetization is 0.49 μB per formula unit.

Cell: 2.532 4.104 5.311 Å, 90.00 98.19 90.00°
Space group Pm (No. 6)
Asymmetric unit:
Li: 0.000 0.000 0.000 x1
Li: 0.267 0.500 0.777 x1
Cr: 0.510 0.000 0.468 x1
Ru: 0.756 0.500 0.300 x1

---

# 5
Density functional theory data (GGA-PBE) for a relaxed LiCr4Ru crystal.

Values from the calculation:
The energy relative to the elements comes out at 1.41 eV per formula unit. The calculation puts the density at 7.039 g cm⁻³. Its total magnetization is 0.00 μB per formula unit.

Cell: 6.681 6.681 6.681 Å, 90.00 90.00 90.00°
Space group F-43m (No. 216)
Asymmetric unit:
Li: 0.000 0.000 0.000 x4
Cr: 0.126 0.126 0.374 x16
Ru: 0.250 0.250 0.750 x4

---

# 6
Density functional theory data (GGA-PBE) for a relaxed Li2CrRu crystal.

Values from the calculation:
The energy relative to the elements comes out at 1.17 eV per formula unit. The calculation puts the density at 5.125 g cm⁻³. Its total magnetization is 0.00 μB per formula unit.

Cell: 8.306 2.533 5.147 Å, 90.00 92.74 90.00°
Space group Cm (No. 8)
Asymmetric unit:
Li: 0.000 0.000 0.000 x2
Li: 0.248 0.000 0.779 x2
Cr: 0.248 0.500 0.307 x2
Ru: 0.004 0.500 0.480 x2

---

# 7
Density functional theory data (GGA-PBE) for a relaxed LiCrRu crystal.

Values from the calculation:
The energy relative to the elements comes out at 0.73 eV per formula unit. The calculation puts the density at 6.909 g cm⁻³. Its total magnetization is 1.25 μB per formula unit.

Cell: 3.004 3.004 8.524 Å, 90.00 90.00 90.00°
Space group I4mm (No. 107)
Asymmetric unit:
Li: 0.000 0.000 0.000 x2
Cr: 0.000 0.000 0.321 x2
Ru: 0.000 0.000 0.675 x2

---

# 8
Density functional theory data (GGA-PBE) for a relaxed LiCrRu crystal.

Values from the calculation:
The energy relative to the elements comes out at 0.96 eV per formula unit. The calculation puts the density at 6.548 g cm⁻³. Its total magnetization is 0.26 μB per formula unit.

Cell: 2.811 4.306 13.411 Å, 90.00 90.00 90.00°
Space group Fmm2 (No. 42)
Asymmetric unit:
Li: 0.000 0.000 0.000 x4
Cr: 0.000 0.000 0.324 x4
Ru: 0.000 0.000 0.672 x4

---

# 9
Density functional theory data (GGA-PBE) for a relaxed Li2CrRu crystal.

Values from the calculation:
The energy relative to the elements comes out at 3.14 eV per formula unit. The calculation puts the density at 5.803 g cm⁻³. Its total magnetization is 0.00 μB per formula unit.

Cell: 5.760 5.760 5.760 Å, 90.00 90.00 90.00°
Space group Fm-3m (No. 225)
Asymmetric unit:
Li: 0.250 0.250 0.250 x8
Cr: 0.000 0.000 0.000 x4
Ru: 0.000 0.000 0.500 x4

---

# 10
Density functional theory data (GGA-PBE) for a relaxed Li2CrRu crystal.

Values from the calculation:
The energy relative to the elements comes out at 1.49 eV per formula unit. The calculation puts the density at 5.154 g cm⁻³. Its total magnetization is 0.78 μB per formula unit.

Cell: 2.659 4.311 9.387 Å, 90.00 90.00 90.00°
Space group Cmmm (No. 65)
Asymmetric unit:
Li: 0.000 0.000 0.244 x4
Cr: 0.000 0.500 0.500 x2
Ru: 0.000 0.500 0.000 x2

---

# 11
Density functional theory data (GGA-PBE) for a relaxed Li2CrRu crystal.

Values from the calculation:
The energy relative to the elements comes out at 1.77 eV per formula unit. The calculation puts the density at 5.192 g cm⁻³. Its total magnetization is 0.50 μB per formula unit.

Cell: 2.436 2.436 8.995 Å, 90.00 90.00 90.00°
Space group P4/mmm (No. 123)
Asymmetric unit:
Li: 0.000 0.000 0.244 x2
Cr: 0.500 0.500 0.500 x1
Ru: 0.500 0.500 0.000 x1

---

# 12
Density functional theory data (GGA-PBE) for a relaxed Li2CrRu crystal.

Values from the calculation:
The energy relative to the elements comes out at 0.96 eV per formula unit. The calculation puts the density at 5.378 g cm⁻³. Its total magnetization is 1.99 μB per formula unit.

Cell: 5.908 5.908 5.908 Å, 90.00 90.00 90.00°
Space group F-43m (No. 216)
Asymmetric unit:
Li: 0.000 0.000 0.000 x4
Li: 0.250 0.250 0.250 x4
Cr: 0.250 0.250 0.750 x4
Ru: 0.000 0.000 0.500 x4

---

Question: Which of these has the highest total magnetization?
Answer: number 1

---

What did the fifth record say?
Density functional theory data (GGA-PBE) for a relaxed LiCr4Ru crystal.

Values from the calculation:
The energy relative to the elements comes out at 1.41 eV per formula unit. The calculation puts the density at 7.039 g cm⁻³. Its total magnetization is 0.00 μB per formula unit.

Cell: 6.681 6.681 6.681 Å, 90.00 90.00 90.00°
Space group F-43m (No. 216)
Asymmetric unit:
Li: 0.000 0.000 0.000 x4
Cr: 0.126 0.126 0.374 x16
Ru: 0.250 0.250 0.750 x4

---

Question: total magnetization of number 10 (Li2CrRu)?
Answer: 0.78 μB per formula unit

---

Question: Look up the density of the twelfth one.
Answer: 5.378 g cm⁻³